First-principles (PBE) data for an optimized crystal structure of K2Li2USe4, as listed in Alexandria via LeMat-Bulk.

a b c (Å): 4.2521 7.8175 8.0072
angles (deg): 109.52 105.40 90.00
Last column: magnetic moment on the atom in μB.
Fractional positions:
K (0.1378, 0.5632, 0.2756)  0.00
K (0.8622, 0.4368, 0.7244)  0.00
Li (0.6818, 0.9883, 0.3636)  0.00
Li (0.3182, 0.0117, 0.6364)  0.00
U (0.0000, 0.0000, 0.0000)  2.13
Se (0.1955, 0.1743, 0.3910)  -0.04
Se (0.8045, 0.8257, 0.6090)  -0.04
Se (0.5161, 0.7658, 0.0322)  -0.05
Se (0.4839, 0.2342, 0.9678)  -0.05

- ΔE_f (raw): -123.7 kJ/mol of atoms
- Calculated density: 4.5 Mg/m³

=====

First-principles (PBE) data for an optimized crystal structure of KLiU2Se4, as listed in Alexandria via LeMat-Bulk.

a b c (Å): 4.1929 7.3231 14.6852
angles (deg): 90.00 90.00 106.64
Last column: magnetic moment on the atom in μB.
Fractional positions:
K (0.1077, 0.2154, 0.7500)  0.00
K (0.8923, 0.7846, 0.2500)  0.00
Li (0.8347, 0.6693, 0.7500)  0.00
Li (0.1653, 0.3307, 0.2500)  0.00
U (0.3674, 0.7348, 0.5595)  2.72
U (0.6326, 0.2652, 0.0595)  2.72
U (0.6326, 0.2652, 0.4405)  2.72
U (0.3674, 0.7348, 0.9405)  2.72
Se (0.2662, 0.5324, 0.1104)  -0.05
Se (0.7338, 0.4676, 0.6104)  -0.05
Se (0.7338, 0.4676, 0.8896)  -0.05
Se (0.2662, 0.5324, 0.3896)  -0.05
Se (0.0000, 0.0000, 0.5000)  -0.07
Se (0.0000, 0.0000, 0.0000)  -0.07
Se (0.4285, 0.8570, 0.7500)  -0.05
Se (0.5715, 0.1430, 0.2500)  -0.05

- ΔE_f (raw): -115.4 kJ/mol of atoms
- Calculated density: 6.4 Mg/m³

=====

First-principles (PBE) data for an optimized crystal structure of K2LiU2Se6, as listed in Alexandria via LeMat-Bulk.

a b c (Å): 7.2081 7.2081 8.0935
angles (deg): 97.98 97.98 120.52
Last column: magnetic moment on the atom in μB.
Fractional positions:
K (0.8393, 0.1607, 0.0000)  0.00
K (0.1607, 0.8393, 0.0000)  0.00
Li (0.0000, 0.0000, 0.5000)  0.00
U (0.3344, 0.6656, 0.5000)  1.72
U (0.6656, 0.3344, 0.5000)  1.72
Se (0.7169, 0.7169, 0.6959)  -0.07
Se (0.0604, 0.4106, 0.6967)  -0.07
Se (0.2831, 0.2831, 0.3041)  -0.07
Se (0.4106, 0.0604, 0.6967)  -0.07
Se (0.9396, 0.5894, 0.3033)  -0.07
Se (0.5894, 0.9396, 0.3033)  -0.07

- ΔE_f (raw): -119.6 kJ/mol of atoms
- Calculated density: 4.9 Mg/m³

=====

First-principles (PBE) data for an optimized crystal structure of K3LiU2Se6, as listed in Alexandria via LeMat-Bulk.

a b c (Å): 7.3188 7.3188 7.9948
angles (deg): 98.74 98.74 120.01
Last column: magnetic moment on the atom in μB.
Fractional positions:
K (0.1615, 0.8385, 0.5000)  0.00
K (0.8385, 0.1615, 0.5000)  0.00
K (0.5000, 0.5000, 0.5000)  0.00
Li (0.0000, 0.0000, 0.0000)  0.00
U (0.3329, 0.6671, 0.0000)  2.13
U (0.6671, 0.3329, 0.0000)  2.13
Se (0.9324, 0.5869, 0.7972)  -0.06
Se (0.7226, 0.7226, 0.2009)  -0.06
Se (0.0676, 0.4131, 0.2028)  -0.06
Se (0.5869, 0.9324, 0.7972)  -0.06
Se (0.2774, 0.2774, 0.7991)  -0.06
Se (0.4131, 0.0676, 0.2028)  -0.06

- ΔE_f (raw): -123.5 kJ/mol of atoms
- Calculated density: 5.0 Mg/m³

=====

Spin magnetization? In order: 2.00 5.93 3.00 4.00 μB per formula unit.